A plane-wave DFT calculation with PBE with a Hubbard U was carried out for crystalline CoNiSe2O8 at its relaxed geometry.

Unit cell a=5.434 b=5.434 c=6.003 alpha=90.00 beta=90.00 gamma=120.00
Each line ends with the local moment (μB).
Fractional coordinates of all 12 atoms:
O: 0.323 0.161 0.235  0.05
O: 0.839 0.161 0.235  0.05
O: 0.161 0.323 0.765  0.05
O: 0.333 0.667 0.409  0.03
O: 0.161 0.839 0.765  0.05
O: 0.667 0.333 0.591  0.03
O: 0.677 0.839 0.765  0.05
O: 0.839 0.677 0.235  0.05
Se: 0.333 0.667 0.680  0.02
Se: 0.667 0.333 0.320  0.02
Co: 0.000 0.000 0.500  2.72
Ni: 0.000 0.000 0.000  1.80

* total DFT energy (no corrections): -5.14 eV/atom
* calculated density: 4.37 Mg/m³
* V: 153.51 Å³/cell
* space-group type: P-3m1 (164)